First-principles (PBE) data for TbPrY5 after structural relaxation, as listed in the Alexandria database.

a b c (Å): 6.5783 6.5783 11.8482
angles (deg): 105.63 105.63 95.40
Element x y z (fractional)
1 Tb 0.4914 0.5086 0.7500
2 Tb 0.5086 0.4914 0.2500
3 Pr 0.0000 0.0000 0.0000
4 Pr 0.0000 0.0000 0.5000
5 Y 0.3875 0.0294 0.8344
6 Y 0.4680 0.7629 0.5357
7 Y 0.0294 0.3875 0.3344
8 Y 0.8355 0.1645 0.7500
9 Y 0.2371 0.5320 0.9643
10 Y 0.7629 0.4680 0.0357
11 Y 0.1645 0.8355 0.2500
12 Y 0.9706 0.6125 0.6656
13 Y 0.5320 0.2371 0.4643
14 Y 0.6125 0.9706 0.1656

ΔE_f: 0.102 eV/atom
volume: 33.41 A^3/atom
total moment: 0.000 Bohr magnetons per cell
excess energy over the best structure of this formula in the dataset: 0.000 eV/atom